This record from Alexandria describes crystalline CsSb2Pb3 at its relaxed geometry. The functional is PBE.

**SG**: C2/m, No. 12
**ΔE_f (raw)**: -0.122 eV/atom
**Density**: 7.01 g cm⁻³
**Relative energy among the computed polymorphs**: 0.077 eV/f.u.
**DOS(E_F)**: 3.8 states/eV/cell
**Total magnetic moment**: 0.00 Bohr magnetons per cell

Unit cell a=4.568 b=12.765 c=10.804 alpha=50.32 beta=77.80 gamma=79.69
Positions (direct):
1 Pb 0.306 0.511 0.877
2 Cs 0.097 0.847 0.960
3 Sb 0.457 0.785 0.301
4 Sb 0.543 0.215 0.699
5 Pb 0.924 0.616 0.537
6 Cs 0.903 0.153 0.040
7 Pb 0.694 0.489 0.123
8 Pb 0.691 0.093 0.526
9 Pb 0.076 0.384 0.463
10 Pb 0.309 0.907 0.474
11 Sb 0.759 0.746 0.735
12 Sb 0.241 0.254 0.265

***

This record from Alexandria describes crystalline Cs8ICl6 at its relaxed geometry. The functional is PBE.

**SG**: P-3, No. 147
**ΔE_f (raw)**: -1.689 eV/atom
**Density**: 3.07 g cm⁻³
**DOS(E_F)**: 2.3 states/eV/cell
**Total magnetic moment**: 0.00 Bohr magnetons per cell

Unit cell a=5.219 b=12.952 c=12.952 alpha=120.00 beta=90.00 gamma=90.00
Positions (direct):
1 Cl 0.245 0.133 0.478
2 Cs 0.743 0.962 0.299
3 Cl 0.755 0.867 0.522
4 Cs 0.743 0.338 0.038
5 Cl 0.755 0.478 0.345
6 Cs 0.251 0.667 0.333
7 Cl 0.245 0.522 0.655
8 I 0.500 0.000 0.000
9 Cs 0.749 0.333 0.667
10 Cl 0.245 0.345 0.867
11 Cs 0.257 0.662 0.962
12 Cs 0.257 0.038 0.701
13 Cl 0.755 0.655 0.133
14 Cs 0.743 0.701 0.662
15 Cs 0.257 0.299 0.338

***

This record from Alexandria describes crystalline Th2NiWN5 at its relaxed geometry. The functional is PBE.

**SG**: Cmc2_1, No. 36
**ΔE_f (raw)**: -0.845 eV/atom
**Density**: 11.22 g cm⁻³
**DOS(E_F)**: 6.2 states/eV/cell
**Total magnetic moment**: 2.17 Bohr magnetons per cell

Unit cell a=3.290 b=7.068 c=10.161 alpha=90.00 beta=90.00 gamma=103.46
Site moments in Bohr magnetons follow the coordinates.
Positions (direct):
1 W 0.194 0.388 0.013  0.01
2 Ni 0.551 0.103 0.950  0.68
3 N 0.948 0.895 0.556  0.09
4 W 0.806 0.612 0.513  0.01
5 N 0.689 0.378 0.872  0.06
6 N 0.345 0.690 0.007  0.04
7 N 0.505 0.009 0.276  0.07
8 N 0.655 0.310 0.507  0.04
9 N 0.291 0.581 0.653  0.01
10 N 0.311 0.622 0.372  0.06
11 Th 0.888 0.775 0.185  0.00
12 N 0.709 0.419 0.153  0.01
13 Th 0.112 0.225 0.685  0.00
14 N 0.495 0.991 0.776  0.07
15 Ni 0.449 0.897 0.450  0.68
16 Th 0.868 0.735 0.813  0.02
17 N 0.052 0.105 0.056  0.09
18 Th 0.132 0.265 0.313  0.02

***

This record from Alexandria describes crystalline TbPrNdGa at its relaxed geometry. The functional is PBE.

**SG**: F-43m, No. 216
**Density**: 7.42 g cm⁻³
**DOS(E_F)**: 7.3 states/eV/cell
**Total magnetic moment**: 0.00 Bohr magnetons per cell
**Formation enthalpy at 0 K**: -0.090 eV/atom

Unit cell a=5.457 b=5.457 c=5.457 alpha=60.00 beta=60.00 gamma=60.00
Positions (direct):
1 Ga 0.500 0.500 0.500
2 Tb 0.000 0.000 0.000
3 Pr 0.750 0.750 0.750
4 Nd 0.250 0.250 0.250

***

This record from Alexandria describes crystalline YBe2Mo at its relaxed geometry. The functional is PBE.

**SG**: F-43m, No. 216
**Density**: 5.31 g cm⁻³
**Relative energy among the computed polymorphs**: 2.823 eV/f.u.
**DOS(E_F)**: 5.4 states/eV/cell
**Total magnetic moment**: 0.01 Bohr magnetons per cell
**Formation enthalpy at 0 K**: 0.767 eV/atom

Unit cell a=4.477 b=4.477 c=4.477 alpha=60.00 beta=60.00 gamma=60.00
Positions (direct):
1 Y 0.750 0.750 0.750
2 Be 0.250 0.250 0.250
3 Be 0.000 0.000 0.000
4 Mo 0.500 0.500 0.500

***

This record from Alexandria describes crystalline YAlZn2Au5 at its relaxed geometry. The functional is PBE.

**SG**: Immm, No. 71
**Density**: 10.82 g cm⁻³
**DOS(E_F)**: 4.4 states/eV/cell
**Total magnetic moment**: 0.00 Bohr magnetons per cell
**Formation enthalpy at 0 K**: -0.244 eV/atom

Unit cell a=4.762 b=5.783 c=7.818 alpha=111.71 beta=107.73 gamma=90.00
Positions (direct):
1 Au 0.651 0.412 0.302
2 Au 0.349 0.110 0.698
3 Au 0.000 0.000 0.000
4 Zn 0.812 0.812 0.625
5 Au 0.651 0.890 0.302
6 Zn 0.188 0.188 0.375
7 Y 0.000 0.500 0.000
8 Au 0.349 0.588 0.698
9 Al 0.500 0.000 0.000

***

This record from Alexandria describes crystalline GeP2O2 at its relaxed geometry. The functional is PBE.

**SG**: P4/mmm, No. 123
**ΔE_f (raw)**: -0.161 eV/atom
**Density**: 3.44 g cm⁻³
**Relative energy among the computed polymorphs**: 1.341 eV/f.u.
**DOS(E_F)**: 2.6 states/eV/cell
**Total magnetic moment**: 0.34 Bohr magnetons per cell

Unit cell a=3.498 b=3.498 c=6.575 alpha=90.00 beta=90.00 gamma=90.00
Site moments in Bohr magnetons follow the coordinates.
Positions (direct):
1 O 0.500 0.000 0.000  0.01
2 P 0.000 0.000 0.500  0.00
3 O 0.000 0.500 0.000  0.01
4 P 0.500 0.500 0.500  0.14
5 Ge 0.000 0.000 0.000  0.00

***

This record from Alexandria describes crystalline SrSn3Pt at its relaxed geometry. The functional is PBE.

**SG**: P2_1/c, No. 14
**Density**: 7.82 g cm⁻³
**DOS(E_F)**: 6.0 states/eV/cell
**Total magnetic moment**: 0.00 Bohr magnetons per cell
**Formation enthalpy at 0 K**: -0.548 eV/atom

Unit cell a=7.019 b=8.747 c=9.701 alpha=114.38 beta=90.00 gamma=90.00
Positions (direct):
1 Sr 0.428 0.349 0.249
2 Sn 0.666 0.935 0.164
3 Sr 0.072 0.349 0.749
4 Pt 0.815 0.049 0.443
5 Sn 0.865 0.360 0.410
6 Sn 0.166 0.065 0.336
7 Sr 0.928 0.651 0.251
8 Sr 0.572 0.651 0.751
9 Sn 0.834 0.935 0.664
10 Sn 0.004 0.213 0.069
11 Sn 0.504 0.787 0.431
12 Sn 0.365 0.640 0.090
13 Pt 0.185 0.951 0.557
14 Sn 0.135 0.640 0.590
15 Sn 0.334 0.065 0.836
16 Sn 0.496 0.213 0.569
17 Pt 0.685 0.049 0.943
18 Pt 0.315 0.951 0.057
19 Sn 0.635 0.360 0.910
20 Sn 0.996 0.787 0.931